Entry one
16
Lattice="8.041 0.000 0.000 0.000 8.041 0.000 0.000 0.000 8.041" Properties=species:S:1:pos:R:3 comment="KCd2Br meta-GGA SCAN PBEsol geometry" mass_density_g_cm3=4.39 pbc="T T T"
K 0.000 0.000 0.000
K 0.000 4.020 4.020
K 4.020 0.000 4.020
K 4.020 4.020 0.000
Cd 2.010 2.010 2.010
Cd 2.010 2.010 6.031
Cd 2.010 6.031 2.010
Cd 2.010 6.031 6.031
Cd 6.031 2.010 2.010
Cd 6.031 2.010 6.031
Cd 6.031 6.031 2.010
Cd 6.031 6.031 6.031
Br 0.000 0.000 4.020
Br 0.000 4.020 0.000
Br 4.020 0.000 0.000
Br 4.020 4.020 4.020

Entry two
12
Lattice="4.002 0.000 0.000 -2.001 3.466 0.000 0.000 0.000 28.219" Properties=species:S:1:pos:R:3 comment="KCd2Br meta-GGA SCAN PBEsol geometry" mass_density_g_cm3=4.38 pbc="T T T"
K 0.000 0.000 0.000
K 0.000 2.310 18.813
K 2.001 1.155 9.406
Cd 0.000 0.000 6.730
Cd 0.000 0.000 21.489
Cd 0.000 2.310 12.083
Cd 0.000 2.310 25.542
Cd 2.001 1.155 2.677
Cd 2.001 1.155 16.136
Br 0.000 0.000 14.109
Br 0.000 2.310 4.703
Br 2.001 1.155 23.516

Entry three
8
Lattice="4.320 0.000 0.000 0.000 4.320 0.000 0.000 0.000 12.811" Properties=species:S:1:pos:R:3 comment="KCd2Br meta-GGA SCAN PBEsol geometry" dos_at_fermi_per_ev_cell=1.95 mass_density_g_cm3=4.78 pbc="T T T"
K 0.000 0.000 0.000
K 2.160 2.160 6.405
Cd 0.000 2.160 3.203
Cd 0.000 2.160 9.608
Cd 2.160 0.000 3.203
Cd 2.160 0.000 9.608
Br 0.000 0.000 6.405
Br 2.160 2.160 0.000

Least stable structure: entry one